Run one
Material: TePb2Cl
Method: DFT, PBE
State: optimized geometry

Cell lengths 4.1576, 4.1576, 9.0379 Å; angles 76.70, 76.70, 60.00 degrees
Sites, in units of the cell vectors:
1 Te 0.6687 0.6687 0.9940
2 Pb 0.0824 0.0824 0.7529
3 Pb 0.2516 0.2516 0.2453
4 Cl 0.4974 0.4974 0.5077

Summary:
SG	No. 160
spin magnetization	0.00	μB per cell

=====

Run two
Material: TePb2Cl
Method: DFT, PBE
State: optimized geometry

Cell lengths 7.9491, 7.9491, 7.9491 Å; angles 147.19, 150.32, 44.83 degrees
Sites, in units of the cell vectors:
1 Cl 0.3028 0.8028 0.5000
2 Pb 0.9660 0.9660 0.0000
3 Pb 0.6899 0.1899 0.5000
4 Te 0.5412 0.5412 0.0000

Summary:
SG	No. 44
spin magnetization	0.00	μB per cell

=====

Most stable structure - run one; separation to the second - 9 meV/atom.